An optimized crystal structure of InSeS2N, computed with PBE.

Results
ΔE to the lowest computed polymorph (meV per atom): 365
ρ (g/cm³): 3.89

a = 5.286 Å, b = 5.286 Å, c = 4.159 Å
α = 90.00°, β = 90.00°, γ = 90.00°
Space group P4/mmm (No. 123)
Symmetry-distinct sites (fractional):
In (0.000, 0.000, 0.000) [1 per cell]
Se (0.500, 0.500, 0.500) [1 per cell]
S (0.000, 0.500, 0.000) [2 per cell]
N (0.000, 0.000, 0.500) [1 per cell]

---

An optimized crystal structure of RbMgHgCl5, computed with PBE.

Results
ρ (g/cm³): 3.40

a = 8.837 Å, b = 12.129 Å, c = 9.509 Å
α = 90.00°, β = 110.96°, γ = 90.00°
Space group C2/c (No. 15)
Symmetry-distinct sites (fractional):
Rb (0.000, 0.164, 0.250) [4 per cell]
Mg (0.000, 0.500, 0.000) [4 per cell]
Hg (0.000, 0.187, 0.750) [4 per cell]
Cl (0.000, 0.442, 0.250) [4 per cell]
Cl (0.105, 0.306, 0.585) [8 per cell]
Cl (0.199, 0.061, 0.945) [8 per cell]

---

An optimized crystal structure of Pr2BiC, computed with PBE.

Results
DFT formation energy (eV/atom): -0.149
ρ (g/cm³): 7.32

a = 3.7124 Å, b = 3.7124 Å, c = 28.6648 Å
α = 90.00°, β = 90.00°, γ = 120.00°
Space group R-3m (No. 166, hexagonal axes)
Symmetry-distinct sites (fractional):
Pr (0.0000, 0.0000, 0.1167) [6 per cell]
Bi (0.0000, 0.0000, 0.0000) [3 per cell]
C (0.0000, 0.0000, 0.5000) [3 per cell]

---

An optimized crystal structure of AcNdCd3, computed with PBE.

Results
DFT formation energy (eV/atom): -0.302
ρ (g/cm³): 7.98

a = 3.779 Å, b = 30.485 Å, c = 5.119 Å
α = 90.00°, β = 90.00°, γ = 90.00°
Space group Cmcm (No. 63)
Symmetry-distinct sites (fractional):
Ac (0.000, 0.075, 0.250) [4 per cell]
Nd (0.000, 0.213, 0.750) [4 per cell]
Cd (0.000, 0.323, 0.750) [4 per cell]
Cd (0.000, 0.377, 0.250) [4 per cell]
Cd (0.000, 0.476, 0.250) [4 per cell]

---

An optimized crystal structure of Cd2Sn2Bi, computed with PBE.

Results
ΔE to the lowest computed polymorph (meV per atom): 72
DFT formation energy (eV/atom): 0.161
ρ (g/cm³): 7.91

a = 4.446 Å, b = 4.446 Å, c = 14.255 Å
α = 90.00°, β = 90.00°, γ = 90.00°
Space group I4/mmm (No. 139)
Symmetry-distinct sites (fractional):
Cd (0.000, 0.000, 0.097) [4 per cell]
Sn (0.000, 0.500, 0.250) [4 per cell]
Bi (0.000, 0.000, 0.500) [2 per cell]

---

An optimized crystal structure of In3CoTe, computed with PBE.

Results
ρ (g/cm³): 6.88

a = 5.041 Å, b = 5.041 Å, c = 5.041 Å
α = 90.00°, β = 90.00°, γ = 90.00°
Space group Pm-3m (No. 221)
Symmetry-distinct sites (fractional):
In (0.000, 0.000, 0.500) [3 per cell]
Co (0.000, 0.000, 0.000) [1 per cell]
Te (0.500, 0.500, 0.500) [1 per cell]

---

An optimized crystal structure of ScBe2As, computed with PBE.

Results
DFT formation energy (eV/atom): 0.205
ρ (g/cm³): 3.89

a = 6.174 Å, b = 6.174 Å, c = 6.174 Å
α = 90.00°, β = 90.00°, γ = 90.00°
Space group F-43m (No. 216)
Symmetry-distinct sites (fractional):
Sc (0.000, 0.000, 0.000) [4 per cell]
Be (0.000, 0.000, 0.500) [4 per cell]
Be (0.250, 0.250, 0.750) [4 per cell]
As (0.250, 0.250, 0.250) [4 per cell]

---

An optimized crystal structure of MgFe2Cl, computed with PBE.

Results
ΔE to the lowest computed polymorph (meV per atom): 306
ρ (g/cm³): 4.41

a = 3.022 Å, b = 4.967 Å, c = 4.308 Å
α = 90.00°, β = 93.25°, γ = 90.00°
Space group P2/m (No. 10)
Symmetry-distinct sites (fractional):
Mg (0.000, 0.000, 0.000) [1 per cell]
Fe (0.287, 0.500, 0.215) [2 per cell]
Cl (0.500, 0.000, 0.500) [1 per cell]

---

| no. | uncorrected energy (eV/atom) |
| --- | --- |
| 1 | -3.39 |
| 2 | -2.91 |
| 3 | -5.82 |
| 4 | -2.63 |
| 5 | -2.58 |
| 6 | -3.65 |
| 7 | -4.40 |
| 8 | -4.86 |